1.
VASP calculation (PBE) on a geometry-optimized Tb3Ga7Ir2 structure.

Lattice parameters (Å, degrees): 4.207 4.208 13.542 90.00 98.82 90.00
Sites, in units of the cell vectors:
Tb 0.000 0.000 0.000
Tb 0.319 0.500 0.640
Tb 0.681 0.500 0.360
Ga 0.081 0.500 0.163
Ga 0.224 0.000 0.448
Ga 0.420 0.000 0.837
Ga 0.500 0.500 0.000
Ga 0.580 0.000 0.163
Ga 0.776 0.000 0.552
Ga 0.919 0.500 0.837
Ir 0.130 0.000 0.263
Ir 0.870 0.000 0.737

Properties
For the formation energy, the calculation gives -672 meV/atom.

***

2.
VASP calculation (PBE) on a geometry-optimized PuPdPb2O6 structure.

Lattice parameters (Å, degrees): 6.215 6.215 5.223 107.77 107.77 55.13
Sites, in units of the cell vectors:
Pu 0.000 0.000 0.000
Pd 0.500 0.500 0.500
Pb 0.271 0.271 0.796
Pb 0.729 0.729 0.204
O 0.165 0.165 0.278
O 0.177 0.656 0.199
O 0.344 0.823 0.801
O 0.656 0.177 0.199
O 0.823 0.344 0.801
O 0.835 0.835 0.722

Properties
The formation energy from raw total energies is -1.554 eV/atom.

***

3.
VASP calculation (PBE) on a geometry-optimized BaLiCaCd structure.

Lattice parameters (Å, degrees): 5.795 5.795 5.795 60.00 60.00 60.00
Sites, in units of the cell vectors:
Ba 0.000 0.000 0.000
Li 0.750 0.750 0.750
Ca 0.500 0.500 0.500
Cd 0.250 0.250 0.250

Properties
For the formation energy, the calculation gives -152 meV/atom.

***

Looking at total DFT energy (no corrections) for the records above, in order, we have -5.072 -7.224 -1.840 eV per atom.